This record from Alexandria describes LuUFeOs after structural relaxation. The functional is PBE.

Lattice parameters (Å, degrees): 4.7269 4.7269 4.7269 60.00 60.00 60.00
Closest atoms and distances in Å follow each position.
Sites, in units of the cell vectors:
Lu (0.0000, 0.0000, 0.0000)  4 Fe 2.89, 4 Os 2.89
U (0.5000, 0.5000, 0.5000)  4 Fe 2.89, 4 Os 2.89
Fe (0.2500, 0.2500, 0.2500)  4 U 2.89, 4 Lu 2.89
Os (0.7500, 0.7500, 0.7500)  4 U 2.89, 4 Lu 2.89

- formation enthalpy at 0 K (eV per atom) = -0.038
- total magnetization (μB per cell) = 0.5
- D(E_F) (states/eV per cell) = 8.2